VASP calculation (SCAN) on a PBEsol-optimized structure of MgGa2.

Cell and atoms, written as extended XYZ:
```
6
Lattice="-0.2610 -0.8934 -2.9890 -0.4768 -4.4799 1.3807 -7.3268 1.3572 1.8735" Properties=species:S:1:pos:R:3 pbc="T T T"
Mg -1.8445 -2.0438 0.7720
Mg -4.6274 -2.1667 -0.5877
Ga -4.9721 0.6071 0.2527
Ga -6.9009 -1.4265 1.0290
Ga -7.4789 0.4505 -1.1210
Ga -2.6264 -0.1420 -1.3676
```

Calculated values
- volume (Å³/atom) = 18.5
- N(E_F) (states/eV/atom) = 0.384
- total magnetic moment (μB per formula unit) = 0.0
- energy of formation from the pure elements (eV per atom) = -0.0505